Entry 1:
GGA-PBE BeSiAu, relaxed; raw formation energy = -0.016 eV per atom; energy above the most stable polymorph in this dataset = 0 meV/atom; space group = C2/m
1.0
7.2328 0.0000 0.0000
0.0000 4.1537 0.0000
-1.0050 0.0000 6.3263
Be Si Au
4 4 4
direct
0.1276 0.0000 0.1681
0.3724 0.5000 0.8319
0.6276 0.5000 0.1681
0.8724 0.0000 0.8319
0.0155 0.5000 0.6880
0.4845 0.0000 0.3120
0.5155 0.0000 0.6880
0.9845 0.5000 0.3120
0.1972 0.0000 0.7979
0.3028 0.5000 0.2021
0.6972 0.5000 0.7979
0.8028 0.0000 0.2021

---

Entry 2:
GGA-PBE MnZn2Ru, relaxed; energy relative to the elements = 0.06 eV per atom; energy above the most stable polymorph in this dataset = 111 meV/atom; space group = R3m
1.0
2.6759 0.0000 0.0000
-1.3380 2.3174 0.0000
0.0000 0.0000 26.4273
Mn Zn Ru
3 6 3
direct
0.0000 0.0000 0.0000
0.3333 0.6667 0.6667
0.6667 0.3333 0.3333
0.0000 0.0000 0.2529
0.0000 0.0000 0.4931
0.3333 0.6667 0.1598
0.3333 0.6667 0.9195
0.6667 0.3333 0.5862
0.6667 0.3333 0.8264
0.0000 0.0000 0.7400
0.3333 0.6667 0.4066
0.6667 0.3333 0.0733

---

Entry 3:
GGA-PBE MgBeW2, relaxed; energy relative to the elements = 0.44 eV per atom; energy above the most stable polymorph in this dataset = 148 meV/atom; space group = Imm2
1.0
3.4733 0.0000 0.0000
0.0000 4.3361 0.0000
0.0000 0.0000 7.8084
Mg Be W
2 2 4
direct
0.0000 0.0000 0.0000
0.5000 0.5000 0.5000
0.0000 0.5000 0.2718
0.5000 0.0000 0.7718
0.0000 0.0000 0.5372
0.0000 0.5000 0.7735
0.5000 0.0000 0.2735
0.5000 0.5000 0.0372

---

Entry 4:
GGA-PBE ScPa2Si3Ir4, relaxed; raw formation energy = -0.960 eV per atom; space group = P-4m2
1.0
4.0108 0.0000 0.0000
0.0000 4.0108 0.0000
0.0000 0.0000 10.9936
Sc Pa Si Ir
1 2 3 4
direct
0.0000 0.0000 0.0000
0.0000 0.5000 0.7323
0.5000 0.0000 0.2677
0.0000 0.5000 0.3767
0.5000 0.0000 0.6233
0.5000 0.5000 0.0000
0.0000 0.0000 0.5000
0.0000 0.5000 0.1590
0.5000 0.0000 0.8410
0.5000 0.5000 0.5000

---

Entry 5:
GGA-PBE BaCd2IrO5, relaxed; raw formation energy = -1.207 eV per atom; space group = Immm
1.0
-1.9037 2.9141 5.8394
1.9037 -2.9141 5.8394
1.9037 2.9141 -5.8394
Ba Cd Ir O
1 2 1 5
direct
0.0000 0.0000 0.0000
0.2813 0.7813 0.5000
0.7187 0.2187 0.5000
0.5000 0.5000 0.0000
0.1338 0.3651 0.7687
0.4036 0.6349 0.7687
0.5000 0.0000 0.5000
0.5964 0.3651 0.2313
0.8662 0.6349 0.2313

---

Entry 6:
GGA-PBE Pm2SmHoSc, relaxed; energy relative to the elements = 0.37 eV per atom; space group = Cmcm
1.0
3.2214 -7.9532 0.0000
3.2214 7.9532 0.0000
0.0000 0.0000 6.4480
Pm Sm Ho Sc
4 2 2 2
direct
0.2484 0.2484 0.0000
0.2484 0.2484 0.5000
0.7516 0.7516 0.0000
0.7516 0.7516 0.5000
0.3376 0.6624 0.7500
0.6624 0.3376 0.2500
0.2485 0.7515 0.2500
0.7515 0.2485 0.7500
0.1542 0.8458 0.7500
0.8458 0.1542 0.2500

---

Entry 7:
GGA-PBE Tm3AlP2Rh9, relaxed; energy relative to the elements = -0.65 eV per atom; space group = P-3m1
1.0
6.1649 0.0000 0.0000
-3.0825 5.3390 0.0000
0.0000 0.0000 8.0155
Tm Al P Rh
3 1 2 9
direct
0.0000 0.0000 0.0000
0.3333 0.6667 0.6523
0.6667 0.3333 0.3477
0.0000 0.0000 0.5000
0.3333 0.6667 0.1636
0.6667 0.3333 0.8364
0.0000 0.5000 0.0000
0.1665 0.3331 0.3178
0.1665 0.8335 0.3178
0.3331 0.1665 0.6822
0.5000 0.0000 0.0000
0.5000 0.5000 0.0000
0.6669 0.8335 0.3178
0.8335 0.1665 0.6822
0.8335 0.6669 0.6822

---

Entry 8:
GGA-PBE SbAsIO2, relaxed; raw formation energy = -0.147 eV per atom; energy above the most stable polymorph in this dataset = 0 meV/atom; space group = P4/mmm
1.0
4.0291 0.0000 0.0000
0.0000 4.0291 0.0000
0.0000 0.0000 7.4308
Sb As I O
1 1 1 2
direct
0.0000 0.0000 0.0000
0.5000 0.5000 0.5000
0.0000 0.0000 0.5000
0.0000 0.5000 0.0000
0.5000 0.0000 0.0000

---

Entry 9:
GGA-PBE VGa2CoAg, relaxed; energy relative to the elements = 0.73 eV per atom; space group = P4/mmm
1.0
4.3796 0.0000 0.0000
0.0000 4.3796 0.0000
0.0000 0.0000 4.8096
V Ga Co Ag
1 2 1 1
direct
0.0000 0.0000 0.0000
0.0000 0.5000 0.5000
0.5000 0.0000 0.5000
0.5000 0.5000 0.5000
0.5000 0.5000 0.0000

---

Entry 10:
GGA-PBE RbBe2ReC, relaxed; energy relative to the elements = 1.56 eV per atom; space group = P4/mmm
1.0
4.3567 0.0000 0.0000
0.0000 4.3567 0.0000
0.0000 0.0000 4.0647
Rb Be Re C
1 2 1 1
direct
0.0000 0.0000 0.0000
0.0000 0.5000 0.5000
0.5000 0.0000 0.5000
0.5000 0.5000 0.0000
0.5000 0.5000 0.5000

---

Entry 11:
GGA-PBE TbGd2Co, relaxed; energy relative to the elements = 0.02 eV per atom; energy above the most stable polymorph in this dataset = 39 meV/atom; space group = R-3m
1.0
3.7127 0.0000 0.0000
-1.8564 3.2153 0.0000
0.0000 0.0000 27.8412
Tb Gd Co
3 6 3
direct
0.0000 0.0000 0.0000
0.3333 0.6667 0.6667
0.6667 0.3333 0.3333
0.0000 0.0000 0.2242
0.0000 0.0000 0.7758
0.3333 0.6667 0.4425
0.3333 0.6667 0.8908
0.6667 0.3333 0.1092
0.6667 0.3333 0.5575
0.0000 0.0000 0.5000
0.3333 0.6667 0.1667
0.6667 0.3333 0.8333

---

Entry 12:
GGA-PBE La2InSi, relaxed; raw formation energy = -0.232 eV per atom; space group = I-42d
1.0
8.5159 0.0000 0.0000
0.0000 8.5159 0.0000
0.0000 0.0000 6.7979
La In Si
8 4 4
direct
0.2162 0.2500 0.1250
0.2500 0.7162 0.3750
0.2500 0.7838 0.8750
0.2838 0.2500 0.6250
0.7162 0.7500 0.6250
0.7500 0.2162 0.8750
0.7500 0.2838 0.3750
0.7838 0.7500 0.1250
0.0000 0.0000 0.5000
0.0000 0.5000 0.7500
0.5000 0.0000 0.2500
0.5000 0.5000 0.0000
0.0000 0.0000 0.0000
0.0000 0.5000 0.2500
0.5000 0.0000 0.7500
0.5000 0.5000 0.5000

---

For reference, M_tot by record: 0.000, 0.239, 0.000, 0.000, 0.024, 0.000, 0.000, 0.001, 0.045, 0.038, 3.560, 0.000 μB per atom.